{"formula": "AcPrDyTh", "functional": "PBE", "state": "optimized geometry", "energy_ev_per_fu": -20.18, "n_ef_per_ev_fu": 7.7, "e_form_ev_per_atom": 0.182, "cell": [[-1.7945, 5.2825, -1.8471], [-1.0580, 0.9137, -5.7082], [-5.5175, 0.7356, -1.8849]], "species": ["Pr", "Ac", "Th", "Dy"], "frac_coords": [[0.2500, 0.2500, 0.2500], [0.5000, 0.5000, 0.5000], [0.0000, 0.0000, 0.0000], [0.7500, 0.7500, 0.7500]]}